## Th3Mg2In4 (PBE)

Data for an optimized crystal structure of Th3Mg2In4.

Crystal system   monoclinic
Calculated formation energy   -0.28 eV per atom
VASP energy   -77.75 eV/cell
N(E_F)   0.317 states/eV per atom

Geometry as CIF:
```
data_Th3Mg2In4
_cell_length_a 11.439
_cell_length_b 5.001
_cell_length_c 9.432
_cell_angle_alpha 90.00
_cell_angle_beta 116.55
_cell_angle_gamma 90.00
_symmetry_space_group_name_H-M 'C 1 2/m 1'
_symmetry_Int_Tables_number 12
_symmetry_space_group_name_Hall '-C 2y'
loop_
_atom_site_label
_atom_site_type_symbol
_atom_site_fract_x
_atom_site_fract_y
_atom_site_fract_z
Th1 Th 0.000 0.000 0.000
Th2 Th 0.163 0.500 0.669
Mg1 Mg 0.116 0.500 0.284
In1 In 0.068 0.000 0.398
In2 In 0.205 0.500 0.045
```